Here is crystalline LaBePRh6 at its relaxed geometry from Alexandria via LeMat-Bulk. Energies are from PBE.

abc: 7.820 7.820 7.820
angles: 134.77 108.87 88.41
Atoms (fractional coordinates):
La  0.415  0.165  0.250
La  0.585  0.835  0.750
Be  0.000  0.000  0.500
Be  0.000  0.500  0.000
P  0.000  0.500  0.500
P  0.500  0.500  0.000
Rh  0.116  0.368  0.215
Rh  0.116  0.901  0.748
Rh  0.148  0.898  0.250
Rh  0.314  0.564  0.750
Rh  0.347  0.099  0.715
Rh  0.347  0.632  0.248
Rh  0.653  0.368  0.752
Rh  0.653  0.901  0.285
Rh  0.686  0.436  0.250
Rh  0.852  0.102  0.750
Rh  0.884  0.099  0.252
Rh  0.884  0.632  0.785

Results
The volume comes out at 153 Å³/f.u. The formation energy from the elements comes out at -0.2276 eV/atom. The value obtained for the electronic total energy is -6.6911 eV per atom.

Here is crystalline CaDyP2 at its relaxed geometry from Alexandria via LeMat-Bulk. Energies are from PBE.

abc: 7.329 7.329 7.329
angles: 31.80 31.80 31.80
Atoms (fractional coordinates):
Ca  0.000  0.000  0.000
Dy  0.173  0.173  0.173
P  0.581  0.581  0.581
P  0.760  0.760  0.760

Results
The volume comes out at 97 Å³/f.u. The formation energy from the elements comes out at -1.1114 eV/atom. The value obtained for the electronic total energy is -5.4673 eV per atom.

Here is crystalline Pm2ThAl2Zn2 at its relaxed geometry from Alexandria via LeMat-Bulk. Energies are from PBE.

abc: 10.019 10.019 10.019
angles: 26.00 26.00 26.00
Atoms (fractional coordinates):
Pm  0.128  0.128  0.128
Pm  0.872  0.872  0.872
Th  0.000  0.000  0.000
Al  0.264  0.264  0.264
Al  0.736  0.736  0.736
Zn  0.399  0.399  0.399
Zn  0.601  0.601  0.601

Results
The volume comes out at 170 Å³/f.u. The formation energy from the elements comes out at -0.2722 eV/atom. The value obtained for the electronic total energy is -4.1228 eV per atom.

Here is crystalline Pr2CuGe3 at its relaxed geometry from Alexandria via LeMat-Bulk. Energies are from PBE.

abc: 8.460 8.420 6.025
angles: 69.45 68.73 41.83
Atoms (fractional coordinates):
Pr  0.242  0.758  0.242
Pr  0.250  0.250  0.250
Pr  0.750  0.750  0.750
Pr  0.758  0.242  0.758
Cu  0.334  0.334  0.666
Cu  0.666  0.666  0.334
Ge  0.171  0.171  0.829
Ge  0.175  0.654  0.825
Ge  0.346  0.825  0.654
Ge  0.654  0.175  0.346
Ge  0.825  0.346  0.175
Ge  0.829  0.829  0.171

Results
The volume comes out at 132 Å³/f.u. The formation energy from the elements comes out at -0.7130 eV/atom. The value obtained for the electronic total energy is -5.2976 eV per atom.